Entry 1:
The following is a PBE-GGA calculation of an optimized crystal structure of Ba2TmInTe5, from Alexandria via LeMat-Bulk.

space group = Cmc2_1
total DFT energy (no corrections) = -4.26 eV/atom
formation energy (no corrections) = -1.288 eV/atom

Cell lengths 4.567, 10.520, 14.307 Å; angles 90.00, 90.00, 102.54 degrees
Sites, in units of the cell vectors:
Ba: 0.869 0.738 0.818
Ba: 0.120 0.240 0.685
Ba: 0.131 0.262 0.318
Ba: 0.880 0.760 0.185
Tm: 0.791 0.581 0.522
Tm: 0.209 0.419 0.022
In: 0.557 0.115 0.938
In: 0.443 0.885 0.438
Te: 0.354 0.707 0.004
Te: 0.691 0.382 0.871
Te: 0.496 0.993 0.766
Te: 0.292 0.583 0.662
Te: 0.948 0.895 0.557
Te: 0.646 0.293 0.504
Te: 0.309 0.618 0.371
Te: 0.504 0.007 0.266
Te: 0.708 0.417 0.162
Te: 0.052 0.105 0.057

=====

Entry 2:
The following is a PBE-GGA calculation of an optimized crystal structure of Ba2ZnInTe5, from Alexandria via LeMat-Bulk.

space group = Cmc2_1
total DFT energy (no corrections) = -3.49 eV/atom
formation energy (no corrections) = -0.876 eV/atom

Cell lengths 4.556, 10.991, 13.592 Å; angles 90.00, 90.00, 101.96 degrees
Sites, in units of the cell vectors:
Ba: 0.879 0.757 0.793
Ba: 0.114 0.228 0.674
Ba: 0.121 0.243 0.293
Ba: 0.886 0.772 0.174
Zn: 0.755 0.511 0.525
Zn: 0.245 0.489 0.025
In: 0.570 0.139 0.949
In: 0.430 0.861 0.449
Te: 0.364 0.727 0.987
Te: 0.701 0.402 0.905
Te: 0.507 0.013 0.770
Te: 0.278 0.557 0.656
Te: 0.959 0.918 0.564
Te: 0.636 0.273 0.487
Te: 0.299 0.598 0.405
Te: 0.493 0.987 0.270
Te: 0.722 0.443 0.156
Te: 0.041 0.082 0.064

=====

Entry 3:
The following is a PBE-GGA calculation of an optimized crystal structure of Ba2ZrInTe5, from Alexandria via LeMat-Bulk.

space group = Cmc2_1
total DFT energy (no corrections) = -4.51 eV/atom
formation energy (no corrections) = -1.085 eV/atom

Cell lengths 4.514, 10.305, 14.364 Å; angles 90.00, 90.00, 102.65 degrees
Sites, in units of the cell vectors:
Ba: 0.863 0.726 0.813
Ba: 0.116 0.232 0.687
Ba: 0.137 0.274 0.313
Ba: 0.884 0.768 0.187
Zr: 0.789 0.579 0.522
Zr: 0.211 0.421 0.022
In: 0.549 0.097 0.940
In: 0.451 0.903 0.440
Te: 0.354 0.707 0.003
Te: 0.691 0.382 0.879
Te: 0.491 0.983 0.761
Te: 0.287 0.574 0.657
Te: 0.940 0.881 0.562
Te: 0.646 0.293 0.503
Te: 0.309 0.618 0.379
Te: 0.509 0.017 0.261
Te: 0.713 0.426 0.157
Te: 0.060 0.119 0.062

=====

Entry 4:
The following is a PBE-GGA calculation of an optimized crystal structure of BaThIn, from Alexandria via LeMat-Bulk.

formation enthalpy at 0 K = -0.16 eV per atom
space group = I4/mmm
total DFT energy (no corrections) = -4.19 eV/atom

Cell lengths 4.150, 4.150, 14.192 Å; angles 98.41, 98.41, 90.00 degrees
Sites, in units of the cell vectors:
Th: 0.284 0.284 0.569
Th: 0.716 0.716 0.431
In: 0.159 0.159 0.317
In: 0.841 0.841 0.683
Ba: 0.579 0.579 0.159
Ba: 0.421 0.421 0.841

=====

Entry 5:
The following is a PBE-GGA calculation of an optimized crystal structure of BaTh2In9, from Alexandria via LeMat-Bulk.

formation enthalpy at 0 K = -0.32 eV per atom
space group = P4/mmm
total DFT energy (no corrections) = -3.77 eV/atom

Cell lengths 4.805, 4.805, 14.563 Å; angles 90.00, 90.00, 90.00 degrees
Sites, in units of the cell vectors:
Ba: 0.000 0.000 0.000
Th: 0.000 0.000 0.341
Th: 0.000 0.000 0.659
In: 0.500 0.500 0.000
In: 0.500 0.500 0.336
In: 0.500 0.500 0.664
In: 0.500 0.000 0.176
In: 0.500 0.000 0.500
In: 0.500 0.000 0.824
In: 0.000 0.500 0.176
In: 0.000 0.500 0.500
In: 0.000 0.500 0.824

=====

Entry 6:
The following is a PBE-GGA calculation of an optimized crystal structure of BaThIn4, from Alexandria via LeMat-Bulk.

formation enthalpy at 0 K = -0.24 eV per atom
space group = F-43m
total DFT energy (no corrections) = -3.62 eV/atom

Cell lengths 6.236, 6.236, 6.236 Å; angles 60.00, 60.00, 60.00 degrees
Sites, in units of the cell vectors:
Ba: 0.250 0.250 0.250
Th: 0.000 0.000 0.000
In: 0.625 0.625 0.124
In: 0.625 0.124 0.625
In: 0.625 0.625 0.625
In: 0.124 0.625 0.625

=====

Entry 7:
The following is a PBE-GGA calculation of an optimized crystal structure of BaTi2In2, from Alexandria via LeMat-Bulk.

formation enthalpy at 0 K = 0.19 eV per atom
space group = P4/mbm
E above lowest polymorph = 204 meV per atom
total DFT energy (no corrections) = -4.45 eV/atom

Cell lengths 8.743, 8.743, 3.227 Å; angles 90.00, 90.00, 90.00 degrees
Sites, in units of the cell vectors:
Ti: 0.167 0.667 0.500
Ti: 0.667 0.833 0.500
Ti: 0.833 0.333 0.500
Ti: 0.333 0.167 0.500
Ba: 0.000 0.000 0.000
Ba: 0.500 0.500 0.000
In: 0.373 0.873 0.000
In: 0.873 0.627 0.000
In: 0.627 0.127 0.000
In: 0.127 0.373 0.000

=====

Entry 8:
The following is a PBE-GGA calculation of an optimized crystal structure of BaTi2In2, from Alexandria via LeMat-Bulk.

formation enthalpy at 0 K = -0.01 eV per atom
space group = P4/mbm
E above lowest polymorph = 0 meV per atom
total DFT energy (no corrections) = -4.65 eV/atom

Cell lengths 8.874, 8.874, 3.120 Å; angles 90.00, 90.00, 90.00 degrees
Sites, in units of the cell vectors:
Ti: 0.389 0.889 0.000
Ti: 0.889 0.611 0.000
Ti: 0.611 0.111 0.000
Ti: 0.111 0.389 0.000
Ba: 0.000 0.000 0.000
Ba: 0.500 0.500 0.000
In: 0.176 0.676 0.500
In: 0.676 0.824 0.500
In: 0.824 0.324 0.500
In: 0.324 0.176 0.500

=====

Copy entry 3 word for word.
The following is a PBE-GGA calculation of an optimized crystal structure of Ba2ZrInTe5, from Alexandria via LeMat-Bulk.

space group = Cmc2_1
total DFT energy (no corrections) = -4.51 eV/atom
formation energy (no corrections) = -1.085 eV/atom

Cell lengths 4.514, 10.305, 14.364 Å; angles 90.00, 90.00, 102.65 degrees
Sites, in units of the cell vectors:
Ba: 0.863 0.726 0.813
Ba: 0.116 0.232 0.687
Ba: 0.137 0.274 0.313
Ba: 0.884 0.768 0.187
Zr: 0.789 0.579 0.522
Zr: 0.211 0.421 0.022
In: 0.549 0.097 0.940
In: 0.451 0.903 0.440
Te: 0.354 0.707 0.003
Te: 0.691 0.382 0.879
Te: 0.491 0.983 0.761
Te: 0.287 0.574 0.657
Te: 0.940 0.881 0.562
Te: 0.646 0.293 0.503
Te: 0.309 0.618 0.379
Te: 0.509 0.017 0.261
Te: 0.713 0.426 0.157
Te: 0.060 0.119 0.062

=====

Among the records above, which one has the highest total DFT energy (no corrections)? Ba2ZnInTe5

=====

Copy entry 5 word for word.
The following is a PBE-GGA calculation of an optimized crystal structure of BaTh2In9, from Alexandria via LeMat-Bulk.

formation enthalpy at 0 K = -0.32 eV per atom
space group = P4/mmm
total DFT energy (no corrections) = -3.77 eV/atom

Cell lengths 4.805, 4.805, 14.563 Å; angles 90.00, 90.00, 90.00 degrees
Sites, in units of the cell vectors:
Ba: 0.000 0.000 0.000
Th: 0.000 0.000 0.341
Th: 0.000 0.000 0.659
In: 0.500 0.500 0.000
In: 0.500 0.500 0.336
In: 0.500 0.500 0.664
In: 0.500 0.000 0.176
In: 0.500 0.000 0.500
In: 0.500 0.000 0.824
In: 0.000 0.500 0.176
In: 0.000 0.500 0.500
In: 0.000 0.500 0.824

=====

Which of these has the highest total DFT energy (no corrections)? Ba2ZnInTe5